Density functional theory data (PBE) for a relaxed Tl4TcCl crystal.

Values from the calculation:
The calculation puts the volume at 175 Å³/cell. Its space group is F-43m (216). For the energy relative to the elements, uncorrected, the calculation gives 650 meV per atom. Its density of states at the Fermi level is 4.3 states/eV/cell. The electronic total energy is -17.8 eV per cell.

Geometry as CIF:
```
data_Tl4TcCl
_chemical_formula_sum 'Tl4 Tc1 Cl1'
_space_group_name_H-M_alt 'P 1'
_space_group_IT_number 1
_cell_length_a 6.280
_cell_length_b 6.280
_cell_length_c 6.280
_cell_angle_alpha 60.00
_cell_angle_beta 60.00
_cell_angle_gamma 60.00
loop_
_space_group_symop_operation_xyz
'x,y,z'
loop_
_atom_site_label
_atom_site_fract_x
_atom_site_fract_y
_atom_site_fract_z
Tl1 0.125 0.125 0.125
Tl2 0.125 0.125 0.624
Tl3 0.125 0.624 0.125
Tl4 0.624 0.125 0.125
Tc1 0.500 0.500 0.500
Cl1 0.750 0.750 0.750
```

=====

Density functional theory data (PBE) for a relaxed BeTlV2 crystal.

Values from the calculation:
Its formation energy is 0.82 eV/atom. The calculation puts the volume at 126 Å³/cell. Its space group is I-42d (122). Its density of states at the Fermi level is 10.6 states/eV/cell. The excess energy over the best structure of this formula in the dataset is 186.4 meV per atom. The electronic total energy is -42.1 eV per cell.

Geometry as CIF:
```
data_BeTlV2
_chemical_formula_sum 'Be2 Tl2 V4'
_space_group_name_H-M_alt 'P 1'
_space_group_IT_number 1
_cell_length_a 9.982
_cell_length_b 9.982
_cell_length_c 9.982
_cell_angle_alpha 159.11
_cell_angle_beta 159.11
_cell_angle_gamma 29.72
loop_
_space_group_symop_operation_xyz
'x,y,z'
loop_
_atom_site_label
_atom_site_fract_x
_atom_site_fract_y
_atom_site_fract_z
Be1 0.000 0.000 0.000
Be2 0.750 0.250 0.500
Tl1 0.250 0.750 0.500
Tl2 0.500 0.500 0.000
V1 0.108 0.625 0.983
V2 0.375 0.358 0.483
V3 0.642 0.125 0.017
V4 0.875 0.892 0.517
```

=====

Density functional theory data (PBE) for a relaxed TiCoSb crystal.

Values from the calculation:
The calculation puts the volume at 100 Å³/cell. Its space group is P-6m2 (187). For the energy relative to the elements, uncorrected, the calculation gives -323 meV per atom. Its density of states at the Fermi level is 2.5 states/eV/cell. The electronic total energy is -40.2 eV per cell.

Geometry as CIF:
```
data_TiCoSb
_chemical_formula_sum 'Ti2 Co2 Sb2'
_space_group_name_H-M_alt 'P 1'
_space_group_IT_number 1
_cell_length_a 4.130
_cell_length_b 4.130
_cell_length_c 6.766
_cell_angle_alpha 90.00
_cell_angle_beta 90.00
_cell_angle_gamma 120.00
loop_
_space_group_symop_operation_xyz
'x,y,z'
loop_
_atom_site_label
_atom_site_fract_x
_atom_site_fract_y
_atom_site_fract_z
Ti1 0.000 0.000 0.000
Ti2 0.000 0.000 0.500
Co1 0.667 0.333 0.188
Co2 0.667 0.333 0.812
Sb1 0.333 0.667 0.262
Sb2 0.333 0.667 0.738
```